Compound: BaB2OsC
Source: Alexandria
Functional: GGA-PBE
Structure: relaxed

Computed properties:
Its space group is P4/mmm. For the formation energy, the calculation gives 3.1 eV per formula unit. Its distance to the lowest polymorph of the same formula is 0.0 kJ/mol of atoms.

Unit cell a=4.2623 b=4.1192 c=4.2623 alpha=90.00 beta=90.00 gamma=90.00
Fractional positions:
C 0.0000 0.5000 0.0000
B 0.0000 0.0000 0.5000
B 0.5000 0.0000 0.0000
Os 0.0000 0.0000 0.0000
Ba 0.5000 0.5000 0.5000